First-principles (PBE with a Hubbard U) data for crystalline In2NiF at its relaxed geometry, as listed in Alexandria.

It has space group I-42d (No. 122), with a = 5.787 Å, b = 5.787 Å, c = 11.034 Å, α = 90.00°, β = 90.00° and γ = 90.00°. The distinct sites, in fractional coordinates, are In at (0.248, 0.250, 0.125), Ni at (0.000, 0.000, 0.000) and F at (0.000, 0.000, 0.500).

As for the calculated density: 5.52 g cm⁻³. As for the energy above the lowest structure with this stoichiometry: 30 meV/atom. The value obtained for the magnetization is 0.0 μB/f.u.